# Cs2AlP2

A relaxed Cs2AlP2 crystal (GGA-PBE, the Alexandria database).

Cell: 6.332 8.792 8.792 Å, 52.64 68.89 68.89°
Last column: magnetic moment on the atom in μB.
Sites, in units of the cell vectors:
P (0.410, 0.754, 0.426)  0.16
P (0.910, 0.426, 0.754)  0.16
P (0.590, 0.246, 0.574)  0.16
P (0.090, 0.574, 0.246)  0.16
Al (0.750, 0.500, 0.500)  -0.01
Al (0.250, 0.500, 0.500)  -0.01
Cs (0.650, 0.685, 0.016)  0.01
Cs (0.850, 0.984, 0.315)  0.01
Cs (0.150, 0.016, 0.685)  0.01
Cs (0.350, 0.315, 0.984)  0.01

Energy of formation (meV/atom): -411
Magnetic moment (Bohr magnetons per cell): 1.54
DFT total energy (eV per formula unit): -18.3
Calculated density (Mg/m³): 3.3
N(E_F) (states/eV per atom): 0.886